The following is a DFT calculation (PBE) of an optimized crystal structure of KHCO3.

Calculated values
**DOS(E_F)**: 0.00 states/eV/cell
**Calculated volume**: 13.438 Å³ per atom
**Raw total energy**: -75.627 eV per cell
**Space group**: P-1

Geometry as extended XYZ:
```
12
Lattice="-3.182 -1.297 -1.617 1.783 -5.344 1.007 -2.393 3.147 7.062" Properties=species:S:1:pos:R:3 pbc="T T T"
C -1.633 0.182 5.506
C -2.159 -3.676 0.946
H -3.257 0.865 6.417
H -0.535 -4.359 0.035
K -2.399 -3.225 4.411
K -1.394 -0.268 2.041
O -2.551 1.168 5.724
O -1.242 -4.662 0.728
O -1.819 -0.959 6.063
O -1.973 -2.535 0.389
O -3.840 -0.821 3.142
O 0.047 -2.673 3.310
```